# 1
DFT (PBE) results for a relaxed structure of Pm2Nd4Tm5.

Computed properties:
- symmetry = No. 12
- polymorph energy (0 for the lowest one) (eV/atom) = 0.009
- calculated formation energy (eV/atom) = 0.11

a b c (Å): 6.7201 6.7201 9.2217
angles (deg): 104.12 104.12 67.33
Sites, in units of the cell vectors:
Pm  0.1434  0.1434  0.1268
Pm  0.8566  0.8566  0.8732
Nd  0.3178  0.3178  0.5018
Nd  0.3240  0.3240  0.8751
Nd  0.6760  0.6760  0.1249
Nd  0.6822  0.6822  0.4982
Tm  0.0000  0.0000  0.5000
Tm  0.2117  0.6521  0.2186
Tm  0.3479  0.7883  0.7814
Tm  0.6521  0.2117  0.2186
Tm  0.7883  0.3479  0.7814



# 2
DFT (PBE) results for a relaxed structure of Pm12Nd6Tm.

Computed properties:
- symmetry = No. 166
- polymorph energy (0 for the lowest one) (eV/atom) = 0.174
- calculated formation energy (eV/atom) = 0.30

a b c (Å): 9.9635 9.9635 9.9635
angles (deg): 112.20 112.20 112.20
Sites, in units of the cell vectors:
Pm  0.0000  0.3792  0.6208
Pm  0.0000  0.6208  0.3792
Pm  0.2336  0.2336  0.5927
Pm  0.2336  0.5927  0.2336
Pm  0.3792  0.0000  0.6208
Pm  0.3792  0.6208  0.0000
Pm  0.4073  0.7664  0.7664
Pm  0.5927  0.2336  0.2336
Pm  0.6208  0.0000  0.3792
Pm  0.6208  0.3792  0.0000
Pm  0.7664  0.4073  0.7664
Pm  0.7664  0.7664  0.4073
Nd  0.0228  0.7688  0.7688
Nd  0.2312  0.2312  0.9772
Nd  0.2312  0.9772  0.2312
Nd  0.7688  0.0228  0.7688
Nd  0.7688  0.7688  0.0228
Nd  0.9772  0.2312  0.2312
Tm  0.5000  0.5000  0.5000



# 3
DFT (PBE) results for a relaxed structure of Pm3Nd6Tm.

Computed properties:
- symmetry = No. 12
- polymorph energy (0 for the lowest one) (eV/atom) = 0.079
- calculated formation energy (eV/atom) = 0.21

a b c (Å): 6.7120 6.7120 9.1963
angles (deg): 104.45 104.45 61.92
Sites, in units of the cell vectors:
Pm  0.0000  0.0000  0.0000
Pm  0.0741  0.0741  0.6677
Pm  0.9259  0.9259  0.3323
Nd  0.0487  0.5721  0.6988
Nd  0.3759  0.3759  0.0823
Nd  0.4279  0.9513  0.3012
Nd  0.5721  0.0487  0.6988
Nd  0.6241  0.6241  0.9177
Nd  0.9513  0.4279  0.3012
Tm  0.5000  0.5000  0.5000



# 4
DFT (PBE) results for a relaxed structure of Pm7Nd4Tm.

Computed properties:
- symmetry = No. 12
- polymorph energy (0 for the lowest one) (eV/atom) = 0.201
- calculated formation energy (eV/atom) = 0.22

a b c (Å): 8.7719 8.7719 9.3751
angles (deg): 114.41 114.41 40.44
Sites, in units of the cell vectors:
Pm  0.0000  0.0000  0.0000
Pm  0.2919  0.2919  0.1253
Pm  0.2931  0.2931  0.7778
Pm  0.4199  0.4199  0.5664
Pm  0.5801  0.5801  0.4336
Pm  0.7069  0.7069  0.2222
Pm  0.7081  0.7081  0.8747
Nd  0.0748  0.0748  0.7012
Nd  0.1744  0.1744  0.3879
Nd  0.8256  0.8256  0.6121
Nd  0.9252  0.9252  0.2988
Tm  0.5000  0.5000  0.0000



# 5
DFT (PBE) results for a relaxed structure of Pm4Nd5Tm4.

Computed properties:
- symmetry = No. 87
- calculated formation energy (eV/atom) = 0.02

a b c (Å): 9.5676 9.5676 9.5676
angles (deg): 94.07 94.07 149.11
Sites, in units of the cell vectors:
Pm  0.0767  0.3833  0.4600
Pm  0.3833  0.9233  0.3065
Pm  0.6167  0.0767  0.6935
Pm  0.9233  0.6167  0.5400
Nd  0.0000  0.0000  0.0000
Nd  0.3078  0.5403  0.8481
Nd  0.4597  0.3078  0.7674
Nd  0.5403  0.6922  0.2326
Nd  0.6922  0.4597  0.1519
Tm  0.1548  0.7678  0.9226
Tm  0.2322  0.1548  0.3870
Tm  0.7678  0.8452  0.6130
Tm  0.8452  0.2322  0.0774



# 6
DFT (PBE) results for a relaxed structure of Pm2Nd5Tm5.

Computed properties:
- symmetry = No. 12
- calculated formation energy (eV/atom) = 0.02

a b c (Å): 8.0385 8.0385 11.4097
angles (deg): 115.18 115.18 36.72
Sites, in units of the cell vectors:
Pm  0.0826  0.0826  0.2521
Pm  0.9174  0.9174  0.7479
Nd  0.0000  0.0000  0.5000
Nd  0.1649  0.1649  0.9985
Nd  0.2488  0.2488  0.7470
Nd  0.7512  0.7512  0.2530
Nd  0.8351  0.8351  0.0015
Tm  0.3328  0.3328  0.4994
Tm  0.4178  0.4178  0.2513
Tm  0.5000  0.5000  0.0000
Tm  0.5822  0.5822  0.7487
Tm  0.6672  0.6672  0.5006



# 7
DFT (PBE) results for a relaxed structure of Pm3Nd2Tm5.

Computed properties:
- symmetry = No. 72
- polymorph energy (0 for the lowest one) (eV/atom) = 0.215
- calculated formation energy (eV/atom) = 0.40

a b c (Å): 12.3660 12.3660 12.3660
angles (deg): 135.10 56.12 148.12
Sites, in units of the cell vectors:
Pm  0.1324  0.7476  0.8799
Pm  0.2500  0.2500  0.0000
Pm  0.3676  0.2476  0.6152
Pm  0.6324  0.7524  0.3848
Pm  0.7500  0.7500  0.0000
Pm  0.8676  0.2524  0.1201
Nd  0.1268  0.1041  0.2309
Nd  0.3732  0.6041  0.9773
Nd  0.6268  0.3959  0.0227
Nd  0.8732  0.8959  0.7691
Tm  0.0022  0.7500  0.2522
Tm  0.1245  0.4159  0.5404
Tm  0.2500  0.7500  0.5000
Tm  0.3755  0.9159  0.2914
Tm  0.4978  0.7500  0.7478
Tm  0.5022  0.2500  0.2522
Tm  0.6245  0.0841  0.7086
Tm  0.7500  0.2500  0.5000
Tm  0.8755  0.5841  0.4596
Tm  0.9978  0.2500  0.7478



# 8
DFT (PBE) results for a relaxed structure of Pm2NdTm2.

Computed properties:
- symmetry = No. 12
- polymorph energy (0 for the lowest one) (eV/atom) = 0.000
- calculated formation energy (eV/atom) = 0.03

a b c (Å): 3.5966 3.5966 14.6188
angles (deg): 90.03 90.03 60.01
Sites, in units of the cell vectors:
Pm  0.1681  0.1681  0.3956
Pm  0.8319  0.8319  0.6044
Nd  0.5000  0.5000  0.0000
Tm  0.1661  0.1661  0.8010
Tm  0.8339  0.8339  0.1990



# 9
DFT (PBE) results for a relaxed structure of Pm3Nd4Tm3.

Computed properties:
- symmetry = No. 38
- calculated formation energy (eV/atom) = 0.09

a b c (Å): 3.8289 9.4082 9.4082
angles (deg): 90.26 90.00 90.00
Sites, in units of the cell vectors:
Pm  0.0000  0.0000  0.0000
Pm  0.5000  0.3360  0.8283
Pm  0.5000  0.8283  0.3360
Nd  0.5000  0.2035  0.2035
Nd  0.5000  0.4605  0.4605
Nd  0.5000  0.6990  0.9603
Nd  0.5000  0.9603  0.6990
Tm  0.0000  0.1634  0.5006
Tm  0.0000  0.5006  0.1634
Tm  0.0000  0.6620  0.6620



# 10
DFT (PBE) results for a relaxed structure of Pm8Nd2Tm.

Computed properties:
- symmetry = No. 12
- polymorph energy (0 for the lowest one) (eV/atom) = 0.000
- calculated formation energy (eV/atom) = 0.02

a b c (Å): 9.6256 9.6256 8.1469
angles (deg): 104.74 104.74 31.04
Sites, in units of the cell vectors:
Pm  0.0452  0.0452  0.2289
Pm  0.1354  0.1354  0.6794
Pm  0.3191  0.3191  0.5906
Pm  0.4101  0.4101  0.0486
Pm  0.5899  0.5899  0.9514
Pm  0.6809  0.6809  0.4094
Pm  0.8646  0.8646  0.3206
Pm  0.9548  0.9548  0.7711
Nd  0.2267  0.2267  0.1367
Nd  0.7733  0.7733  0.8633
Tm  0.5000  0.5000  0.5000



# 11
DFT (PBE) results for a relaxed structure of PmNd2Tm.

Computed properties:
- symmetry = No. 123
- polymorph energy (0 for the lowest one) (eV/atom) = 0.000
- calculated formation energy (eV/atom) = 0.02

a b c (Å): 5.1292 5.1292 5.1127
angles (deg): 90.00 90.00 90.00
Sites, in units of the cell vectors:
Pm  0.0000  0.0000  0.0000
Nd  0.0000  0.5000  0.5000
Nd  0.5000  0.0000  0.5000
Tm  0.5000  0.5000  0.0000



# 12
DFT (PBE) results for a relaxed structure of Pm3Nd3Tm2.

Computed properties:
- symmetry = No. 71
- calculated formation energy (eV/atom) = 0.02

a b c (Å): 10.7991 10.7991 10.7991
angles (deg): 152.48 152.48 39.31
Sites, in units of the cell vectors:
Pm  0.0000  0.0000  0.0000
Pm  0.3722  0.8722  0.5000
Pm  0.6278  0.1278  0.5000
Nd  0.1277  0.6277  0.5000
Nd  0.5000  0.5000  0.0000
Nd  0.8723  0.3723  0.5000
Tm  0.2501  0.2501  0.0000
Tm  0.7499  0.7499  0.0000



# 13
DFT (PBE) results for a relaxed structure of Pm6Nd7Tm16.

Computed properties:
- symmetry = No. 225
- calculated formation energy (eV/atom) = 0.24

a b c (Å): 11.2069 11.2069 11.2069
angles (deg): 60.00 60.00 60.00
Sites, in units of the cell vectors:
Pm  0.2388  0.2388  0.7612
Pm  0.2388  0.7612  0.2388
Pm  0.2388  0.7612  0.7612
Pm  0.7612  0.2388  0.2388
Pm  0.7612  0.2388  0.7612
Pm  0.7612  0.7612  0.2388
Nd  0.0000  0.0000  0.5000
Nd  0.0000  0.5000  0.0000
Nd  0.0000  0.5000  0.5000
Nd  0.5000  0.0000  0.0000
Nd  0.5000  0.0000  0.5000
Nd  0.5000  0.5000  0.0000
Nd  0.5000  0.5000  0.5000
Tm  0.1115  0.6295  0.6295
Tm  0.1510  0.1510  0.1510
Tm  0.1510  0.1510  0.5470
Tm  0.1510  0.5470  0.1510
Tm  0.3705  0.3705  0.3705
Tm  0.3705  0.3705  0.8885
Tm  0.3705  0.8885  0.3705
Tm  0.4530  0.8490  0.8490
Tm  0.5470  0.1510  0.1510
Tm  0.6295  0.1115  0.6295
Tm  0.6295  0.6295  0.1115
Tm  0.6295  0.6295  0.6295
Tm  0.8490  0.4530  0.8490
Tm  0.8490  0.8490  0.4530
Tm  0.8490  0.8490  0.8490
Tm  0.8885  0.3705  0.3705



# 14
DFT (PBE) results for a relaxed structure of Pm6NdTm4.

Computed properties:
- symmetry = No. 121
- polymorph energy (0 for the lowest one) (eV/atom) = 0.204
- calculated formation energy (eV/atom) = 0.31

a b c (Å): 9.7666 9.7666 9.7666
angles (deg): 140.19 140.19 57.57
Sites, in units of the cell vectors:
Pm  0.0000  0.5000  0.5000
Pm  0.0124  0.6333  0.0000
Pm  0.3667  0.3667  0.3791
Pm  0.5000  0.0000  0.5000
Pm  0.6333  0.0124  0.0000
Pm  0.9876  0.9876  0.6209
Nd  0.0000  0.0000  0.0000
Tm  0.1940  0.1940  0.6410
Tm  0.4469  0.8060  0.0000
Tm  0.5531  0.5531  0.3590
Tm  0.8060  0.4469  0.0000



# 15
DFT (PBE) results for a relaxed structure of Pm3NdTm.

Computed properties:
- symmetry = No. 2
- polymorph energy (0 for the lowest one) (eV/atom) = 0.003
- calculated formation energy (eV/atom) = 0.19

a b c (Å): 6.0803 6.8061 9.4155
angles (deg): 69.03 71.24 89.99
Sites, in units of the cell vectors:
Pm  0.0235  0.2731  0.4541
Pm  0.4034  0.3855  0.6930
Pm  0.4030  0.9196  0.6934
Pm  0.5970  0.0804  0.3066
Pm  0.5966  0.6145  0.3070
Pm  0.9765  0.7269  0.5459
Nd  0.0000  0.5000  0.0000
Nd  0.5000  0.5000  0.0000
Tm  0.1991  0.9497  0.1019
Tm  0.8009  0.0503  0.8981



# 16
DFT (PBE) results for a relaxed structure of Pm10NdTm4.

Computed properties:
- symmetry = No. 87
- calculated formation energy (eV/atom) = 0.45

a b c (Å): 8.8589 8.8589 8.8589
angles (deg): 111.76 111.76 104.99
Sites, in units of the cell vectors:
Pm  0.0521  0.3960  0.1077
Pm  0.0555  0.9479  0.3439
Pm  0.2500  0.7500  0.5000
Pm  0.2883  0.9445  0.8923
Pm  0.3960  0.2883  0.3439
Pm  0.6040  0.7117  0.6561
Pm  0.7117  0.0555  0.1077
Pm  0.7500  0.2500  0.5000
Pm  0.9445  0.0521  0.6561
Pm  0.9479  0.6040  0.8923
Nd  0.0000  0.0000  0.0000
Tm  0.2222  0.4435  0.6656
Tm  0.4435  0.7778  0.2213
Tm  0.5565  0.2222  0.7787
Tm  0.7778  0.5565  0.3344



# 17
DFT (PBE) results for a relaxed structure of Pm2NdTm2.

Computed properties:
- symmetry = No. 12
- polymorph energy (0 for the lowest one) (eV/atom) = 0.077
- calculated formation energy (eV/atom) = 0.10

a b c (Å): 6.8459 6.8459 9.7560
angles (deg): 107.35 107.35 49.98
Sites, in units of the cell vectors:
Pm  0.1577  0.1577  0.0426
Pm  0.2661  0.2661  0.7279
Pm  0.7339  0.7339  0.2721
Pm  0.8423  0.8423  0.9574
Nd  0.0499  0.0499  0.3508
Nd  0.9501  0.9501  0.6492
Tm  0.3591  0.3591  0.4233
Tm  0.4482  0.4482  0.1329
Tm  0.5518  0.5518  0.8671
Tm  0.6409  0.6409  0.5767



# 18
DFT (PBE) results for a relaxed structure of PmNd6Tm3.

Computed properties:
- symmetry = No. 155
- polymorph energy (0 for the lowest one) (eV/atom) = 0.083
- calculated formation energy (eV/atom) = 0.23

a b c (Å): 7.0075 7.0075 7.0075
angles (deg): 90.21 90.21 90.21
Sites, in units of the cell vectors:
Pm  0.0000  0.0000  0.0000
Nd  0.0000  0.3307  0.6693
Nd  0.1704  0.8296  0.5000
Nd  0.3307  0.6693  0.0000
Nd  0.5000  0.1704  0.8296
Nd  0.6693  0.0000  0.3307
Nd  0.8296  0.5000  0.1704
Tm  0.2532  0.2532  0.2532
Tm  0.5000  0.5000  0.5000
Tm  0.7468  0.7468  0.7468



# 19
DFT (PBE) results for a relaxed structure of Pm8Nd2Tm.

Computed properties:
- symmetry = No. 12
- polymorph energy (0 for the lowest one) (eV/atom) = 0.150
- calculated formation energy (eV/atom) = 0.17

a b c (Å): 10.2256 10.2256 5.7577
angles (deg): 93.63 93.63 40.63
Sites, in units of the cell vectors:
Pm  0.0448  0.0448  0.2337
Pm  0.1097  0.6361  0.2688
Pm  0.3148  0.3148  0.7724
Pm  0.3639  0.8903  0.7312
Pm  0.6361  0.1097  0.2688
Pm  0.6852  0.6852  0.2276
Pm  0.8903  0.3639  0.7312
Pm  0.9552  0.9552  0.7663
Nd  0.2165  0.2165  0.2587
Nd  0.7835  0.7835  0.7413
Tm  0.5000  0.5000  0.0000



# 20
DFT (PBE) results for a relaxed structure of Pm12Nd6Tm.

Computed properties:
- symmetry = No. 148
- polymorph energy (0 for the lowest one) (eV/atom) = 0.000
- calculated formation energy (eV/atom) = 0.13

a b c (Å): 8.7263 8.7263 8.7263
angles (deg): 89.27 89.27 89.27
Sites, in units of the cell vectors:
Pm  0.0174  0.1930  0.3590
Pm  0.1930  0.3590  0.0174
Pm  0.2209  0.4643  0.5639
Pm  0.3590  0.0174  0.1930
Pm  0.4361  0.7791  0.5357
Pm  0.4643  0.5639  0.2209
Pm  0.5357  0.4361  0.7791
Pm  0.5639  0.2209  0.4643
Pm  0.6410  0.9826  0.8070
Pm  0.7791  0.5357  0.4361
Pm  0.8070  0.6410  0.9826
Pm  0.9826  0.8070  0.6410
Nd  0.0945  0.6985  0.2622
Nd  0.2622  0.0945  0.6985
Nd  0.3015  0.7378  0.9055
Nd  0.6985  0.2622  0.0945
Nd  0.7378  0.9055  0.3015
Nd  0.9055  0.3015  0.7378
Tm  0.0000  0.0000  0.0000